Compound: Co5Pb3S12
Source: Alexandria via LeMat-Bulk
Functional: PBE-GGA
Structure: optimized geometry

```
80
Lattice="-7.306 7.306 7.306 7.306 -7.306 7.306 7.306 7.306 -7.306" Properties=species:S:1:pos:R:3 pbc="T T T"
Co 0.000 0.000 0.000
Co 3.653 3.653 -3.653
Co 3.653 -3.653 3.653
Co 7.306 0.000 0.000
Co 10.959 1.826 0.000
Co 7.306 -3.653 5.479
Co 5.479 7.306 -3.653
Co 5.479 0.000 3.653
Co 3.653 5.479 0.000
Co 7.306 3.653 1.826
Co -3.653 3.653 3.653
Co 0.000 7.306 0.000
Co 0.000 0.000 7.306
Co 3.653 3.653 3.653
Co 0.000 3.653 5.479
Co 3.653 1.826 7.306
Co 1.826 7.306 3.653
Co 1.826 0.000 10.959
Co 0.000 10.959 1.826
Co -3.653 5.479 7.306
Pb 3.653 1.826 0.000
Pb 7.306 3.653 -1.826
Pb 1.826 0.000 3.653
Pb 9.132 0.000 3.653
Pb 0.000 3.653 1.826
Pb 3.653 -1.826 7.306
Pb 3.653 9.132 0.000
Pb 7.306 3.653 5.479
Pb -1.826 7.306 3.653
Pb 5.479 7.306 3.653
Pb 0.000 3.653 9.132
Pb 3.653 5.479 7.306
S 2.135 -0.488 0.670
S 8.824 4.322 -4.141
S 9.441 0.488 0.670
S 8.824 -2.983 4.141
S 6.818 -0.670 2.135
S 11.446 -1.518 2.983
S 0.670 2.135 -0.488
S 10.289 3.165 -1.518
S 4.322 4.141 -1.518
S 6.636 2.135 0.488
S -0.488 0.670 2.135
S 4.141 -1.518 4.322
S 6.818 6.636 -2.135
S 4.141 1.518 2.983
S 4.322 -4.141 8.824
S 6.636 -2.135 6.818
S 2.983 4.141 1.518
S 7.975 5.171 0.488
S 4.141 8.824 -2.983
S 6.818 0.670 5.171
S 2.135 6.818 -0.670
S 8.824 2.983 3.165
S 1.518 2.983 4.141
S 2.135 0.488 6.636
S 5.171 6.818 0.670
S 5.788 4.322 3.165
S -1.518 4.322 4.141
S 5.171 0.488 7.975
S 0.488 6.636 2.135
S 3.165 -1.518 10.289
S -0.670 2.135 6.818
S 4.322 3.165 5.788
S 0.670 9.441 0.488
S 2.983 11.446 -1.518
S 3.165 5.788 4.322
S 0.488 0.670 9.441
S 3.165 8.824 2.983
S 7.794 6.636 5.171
S 0.670 5.171 6.818
S 2.983 3.165 8.824
S -2.983 4.141 8.824
S 6.636 5.171 7.794
S -4.141 8.824 4.322
S 0.488 7.975 5.171
S -1.518 10.289 3.165
S -2.135 6.818 6.636
S -1.518 2.983 11.446
S 5.171 7.794 6.636
```

Summary:
**E_form (uncorrected)**: -0.220 eV/atom
**Size of the total moment**: 18.1 μB/cell
**Symmetry**: Ia-3d (230)